# 1
# K3ZrCr (GGA-PBE, relaxed)
# Energy of formation from the pure elements (eV per atom): 1.624
# Total magnetization (Bohr magnetons per cell): 9.2
# ρ (g cm⁻³): 1.43
# Symmetry: Pm-3m
# ΔE to the lowest computed polymorph (meV per atom): 135
data_K3ZrCr
_cell_length_a 6.717
_cell_length_b 6.717
_cell_length_c 6.717
_cell_angle_alpha 90.00
_cell_angle_beta 90.00
_cell_angle_gamma 90.00
_symmetry_space_group_name_H-M 'P 1'
_symmetry_Int_Tables_number 1
loop_
_symmetry_equiv_pos_as_xyz
'x,y,z'
loop_
_atom_site_label
_atom_site_type_symbol
_atom_site_fract_x
_atom_site_fract_y
_atom_site_fract_z
_atom_site_occupancy
K1 K 0.000 0.000 0.500 1
K2 K 0.000 0.500 0.000 1
K3 K 0.500 0.000 0.000 1
Zr1 Zr 0.000 0.000 0.000 1
Cr1 Cr 0.500 0.500 0.500 1



# 2
# BaIr2Au (GGA-PBE, relaxed)
# Energy of formation from the pure elements (eV per atom): 0.731
# Total magnetization (Bohr magnetons per cell): 0.0
# ρ (g cm⁻³): 14.46
# Symmetry: I4/mmm
# ΔE to the lowest computed polymorph (meV per atom): 872
data_BaIr2Au
_cell_length_a 4.320
_cell_length_b 4.320
_cell_length_c 8.849
_cell_angle_alpha 90.00
_cell_angle_beta 90.00
_cell_angle_gamma 90.00
_symmetry_space_group_name_H-M 'P 1'
_symmetry_Int_Tables_number 1
loop_
_symmetry_equiv_pos_as_xyz
'x,y,z'
loop_
_atom_site_label
_atom_site_type_symbol
_atom_site_fract_x
_atom_site_fract_y
_atom_site_fract_z
_atom_site_occupancy
Ba1 Ba 0.000 0.000 0.000 1
Ba2 Ba 0.500 0.500 0.500 1
Ir1 Ir 0.000 0.500 0.250 1
Ir2 Ir 0.000 0.500 0.750 1
Ir3 Ir 0.500 0.000 0.250 1
Ir4 Ir 0.500 0.000 0.750 1
Au1 Au 0.000 0.000 0.500 1
Au2 Au 0.500 0.500 0.000 1



# 3
# KSr2AlSn (GGA-PBE, relaxed)
# Energy of formation from the pure elements (eV per atom): 0.306
# Total magnetization (Bohr magnetons per cell): 1.4
# ρ (g cm⁻³): 2.57
# Symmetry: P4/mmm
data_KSr2AlSn
_cell_length_a 6.217
_cell_length_b 6.217
_cell_length_c 6.021
_cell_angle_alpha 90.00
_cell_angle_beta 90.00
_cell_angle_gamma 90.00
_symmetry_space_group_name_H-M 'P 1'
_symmetry_Int_Tables_number 1
loop_
_symmetry_equiv_pos_as_xyz
'x,y,z'
loop_
_atom_site_label
_atom_site_type_symbol
_atom_site_fract_x
_atom_site_fract_y
_atom_site_fract_z
_atom_site_occupancy
K1 K 0.000 0.000 0.000 1
Sr1 Sr 0.000 0.500 0.500 1
Sr2 Sr 0.500 0.000 0.500 1
Al1 Al 0.000 0.000 0.500 1
Sn1 Sn 0.500 0.500 0.000 1



# 4
# Tm3Rh (GGA-PBE, relaxed)
# Energy of formation from the pure elements (eV per atom): -0.524
# Total magnetization (Bohr magnetons per cell): 0.0
# ρ (g cm⁻³): 10.13
# Symmetry: I-42m
data_Tm3Rh
_cell_length_a 8.686
_cell_length_b 8.686
_cell_length_c 8.686
_cell_angle_alpha 96.91
_cell_angle_beta 96.91
_cell_angle_gamma 139.41
_symmetry_space_group_name_H-M 'P 1'
_symmetry_Int_Tables_number 1
loop_
_symmetry_equiv_pos_as_xyz
'x,y,z'
loop_
_atom_site_label
_atom_site_type_symbol
_atom_site_fract_x
_atom_site_fract_y
_atom_site_fract_z
_atom_site_occupancy
Tm1 Tm 0.000 0.358 0.358 1
Tm2 Tm 0.000 0.642 0.642 1
Tm3 Tm 0.099 0.099 0.594 1
Tm4 Tm 0.155 0.345 0.000 1
Tm5 Tm 0.345 0.155 0.000 1
Tm6 Tm 0.358 0.000 0.358 1
Tm7 Tm 0.495 0.901 0.000 1
Tm8 Tm 0.505 0.505 0.406 1
Tm9 Tm 0.642 0.000 0.642 1
Tm10 Tm 0.655 0.655 0.810 1
Tm11 Tm 0.845 0.845 0.190 1
Tm12 Tm 0.901 0.495 0.000 1
Rh1 Rh 0.207 0.500 0.707 1
Rh2 Rh 0.500 0.207 0.707 1
Rh3 Rh 0.500 0.793 0.293 1
Rh4 Rh 0.793 0.500 0.293 1



# 5
# CrCuAs (GGA-PBE, relaxed)
# Energy of formation from the pure elements (eV per atom): 0.022
# Total magnetization (Bohr magnetons per cell): 5.4
# ρ (g cm⁻³): 7.46
# Symmetry: P4/nmm
data_CrCuAs
_cell_length_a 3.594
_cell_length_b 3.594
_cell_length_c 6.567
_cell_angle_alpha 90.00
_cell_angle_beta 90.00
_cell_angle_gamma 90.00
_symmetry_space_group_name_H-M 'P 1'
_symmetry_Int_Tables_number 1
loop_
_symmetry_equiv_pos_as_xyz
'x,y,z'
loop_
_atom_site_label
_atom_site_type_symbol
_atom_site_fract_x
_atom_site_fract_y
_atom_site_fract_z
_atom_site_occupancy
Cr1 Cr 0.250 0.250 0.144 1
Cr2 Cr 0.750 0.750 0.856 1
Cu1 Cu 0.250 0.750 0.500 1
Cu2 Cu 0.750 0.250 0.500 1
As1 As 0.250 0.250 0.773 1
As2 As 0.750 0.750 0.227 1



# 6
# ZnGaPt3 (GGA-PBE, relaxed)
# Energy of formation from the pure elements (eV per atom): -0.092
# Total magnetization (Bohr magnetons per cell): 0.0
# ρ (g cm⁻³): 14.27
# Symmetry: P6_3/mmc
# ΔE to the lowest computed polymorph (meV per atom): 0
data_ZnGaPt3
_cell_length_a 6.686
_cell_length_b 6.686
_cell_length_c 4.329
_cell_angle_alpha 90.00
_cell_angle_beta 90.00
_cell_angle_gamma 120.00
_symmetry_space_group_name_H-M 'P 1'
_symmetry_Int_Tables_number 1
loop_
_symmetry_equiv_pos_as_xyz
'x,y,z'
loop_
_atom_site_label
_atom_site_type_symbol
_atom_site_fract_x
_atom_site_fract_y
_atom_site_fract_z
_atom_site_occupancy
Zn1 Zn 0.000 0.000 0.000 1
Zn2 Zn 0.000 0.000 0.500 1
Ga1 Ga 0.333 0.667 0.250 1
Ga2 Ga 0.667 0.333 0.750 1
Pt1 Pt 0.199 0.397 0.750 1
Pt2 Pt 0.199 0.801 0.750 1
Pt3 Pt 0.397 0.199 0.250 1
Pt4 Pt 0.603 0.801 0.750 1
Pt5 Pt 0.801 0.199 0.250 1
Pt6 Pt 0.801 0.603 0.250 1



# 7
# AcNdPu (GGA-PBE, relaxed)
# Energy of formation from the pure elements (eV per atom): 0.223
# Total magnetization (Bohr magnetons per cell): 26.2
# ρ (g cm⁻³): 9.58
# Symmetry: C2/m
# ΔE to the lowest computed polymorph (meV per atom): 53
data_AcNdPu
_cell_length_a 12.134
_cell_length_b 5.852
_cell_length_c 7.182
_cell_angle_alpha 90.00
_cell_angle_beta 123.21
_cell_angle_gamma 90.00
_symmetry_space_group_name_H-M 'P 1'
_symmetry_Int_Tables_number 1
loop_
_symmetry_equiv_pos_as_xyz
'x,y,z'
loop_
_atom_site_label
_atom_site_type_symbol
_atom_site_fract_x
_atom_site_fract_y
_atom_site_fract_z
_atom_site_occupancy
Ac1 Ac 0.182 0.000 0.100 1
Ac2 Ac 0.318 0.500 0.900 1
Ac3 Ac 0.682 0.500 0.100 1
Ac4 Ac 0.818 0.000 0.900 1
Nd1 Nd 0.036 0.500 0.280 1
Nd2 Nd 0.464 0.000 0.720 1
Nd3 Nd 0.536 0.000 0.280 1
Nd4 Nd 0.964 0.500 0.720 1
Pu1 Pu 0.134 0.000 0.557 1
Pu2 Pu 0.366 0.500 0.443 1
Pu3 Pu 0.634 0.500 0.557 1
Pu4 Pu 0.866 0.000 0.443 1



# 8
# AcHo2Tm (GGA-PBE, relaxed)
# Energy of formation from the pure elements (eV per atom): 0.191
# Total magnetization (Bohr magnetons per cell): 0.0
# ρ (g cm⁻³): 8.76
# Symmetry: R-3m
# ΔE to the lowest computed polymorph (meV per atom): 142
data_AcHo2Tm
_cell_length_a 3.554
_cell_length_b 3.554
_cell_length_c 37.720
_cell_angle_alpha 90.00
_cell_angle_beta 90.00
_cell_angle_gamma 120.00
_symmetry_space_group_name_H-M 'P 1'
_symmetry_Int_Tables_number 1
loop_
_symmetry_equiv_pos_as_xyz
'x,y,z'
loop_
_atom_site_label
_atom_site_type_symbol
_atom_site_fract_x
_atom_site_fract_y
_atom_site_fract_z
_atom_site_occupancy
Ac1 Ac 0.000 0.000 0.000 1
Ac2 Ac 0.333 0.667 0.667 1
Ac3 Ac 0.667 0.333 0.333 1
Ho1 Ho 0.000 0.000 0.093 1
Ho2 Ho 0.000 0.000 0.907 1
Ho3 Ho 0.333 0.667 0.574 1
Ho4 Ho 0.333 0.667 0.760 1
Ho5 Ho 0.667 0.333 0.240 1
Ho6 Ho 0.667 0.333 0.426 1
Tm1 Tm 0.000 0.000 0.500 1
Tm2 Tm 0.333 0.667 0.167 1
Tm3 Tm 0.667 0.333 0.833 1